Model one:
A relaxed structure of TaTlCl6, computed with GGA-PBE.

Lattice parameters (Å, degrees): 6.719 6.719 6.852 98.16 98.16 113.80
Sites, in units of the cell vectors:
1 Ta 0.500 0.500 0.500
2 Tl 0.000 0.000 0.000
3 Cl 0.520 0.820 0.717
4 Cl 0.820 0.520 0.717
5 Cl 0.180 0.480 0.283
6 Cl 0.480 0.180 0.283
7 Cl 0.267 0.267 0.682
8 Cl 0.733 0.733 0.318

Total moment = 0.00 μB/f.u.
DOS(E_F) = 0.00 states/eV/f.u.

---

Model two:
A relaxed structure of TaTlCl6, computed with GGA-PBE.

Lattice parameters (Å, degrees): 7.047 7.047 11.020 90.05 90.05 72.04
Sites, in units of the cell vectors:
1 Ta 0.500 0.000 0.500
2 Ta 0.000 0.500 0.000
3 Tl 0.015 0.985 0.750
4 Tl 0.985 0.015 0.250
5 Cl 0.415 0.737 0.596
6 Cl 0.585 0.263 0.404
7 Cl 0.263 0.585 0.904
8 Cl 0.737 0.415 0.096
9 Cl 0.533 0.136 0.693
10 Cl 0.467 0.864 0.307
11 Cl 0.864 0.467 0.807
12 Cl 0.136 0.533 0.193
13 Cl 0.806 0.844 0.003
14 Cl 0.194 0.156 0.997
15 Cl 0.156 0.194 0.497
16 Cl 0.844 0.806 0.503

Total moment = 0.00 μB/f.u.
DOS(E_F) = 0.00 states/eV/f.u.

---

Model three:
A relaxed structure of TaTlCl6, computed with GGA-PBE.

Lattice parameters (Å, degrees): 6.919 6.919 7.473 62.42 62.42 60.00
Sites, in units of the cell vectors:
1 Ta 0.000 0.000 0.000
2 Tl 0.500 0.500 0.500
3 Cl 0.911 0.911 0.783
4 Cl 0.395 0.911 0.783
5 Cl 0.089 0.605 0.217
6 Cl 0.605 0.089 0.217
7 Cl 0.089 0.089 0.217
8 Cl 0.911 0.395 0.783

Total moment = 0.00 μB/f.u.
DOS(E_F) = 0.00 states/eV/f.u.

---

Which is most stable, and by how much? model two, by 17 meV/atom.